Model P:
DFT (GGA-PBE) results for a relaxed La3TlNi crystal.

Cell and atoms, written as extended XYZ:
```
10
Lattice="-2.1930 2.0555 -7.8409 -2.1280 -4.6825 -5.0239 -5.9210 6.1340 -1.2820" Properties=species:S:1:pos:R:3 pbc="T T T"
La -4.0398 -1.0371 -11.4433
La -5.2010 4.3999 -8.0091
La -4.4712 1.3056 -6.3659
La -7.1030 6.6851 -6.0582
La -6.1581 5.9292 -2.8919
La -3.9530 3.1003 -3.3344
Tl -5.7600 1.8223 -10.2748
Tl -2.7506 -1.5537 -7.5345
Ni -7.0641 6.8140 -8.7152
Ni -5.2398 4.2709 -5.3521
```

Model Q:
DFT (GGA-PBE) results for a relaxed La3TlNi crystal.

Cell and atoms, written as extended XYZ:
```
10
Lattice="5.1250 0.0000 1.4312 2.2437 6.0115 1.8570 0.0641 -0.3589 9.6619" Properties=species:S:1:pos:R:3 pbc="T T T"
Tl 3.6037 1.3514 6.8784
Tl 3.8290 4.3012 6.0717
La 1.6140 2.2083 4.1121
La 6.6944 5.8201 5.7027
La 2.6762 1.5088 10.1997
La 4.7565 4.1438 2.7504
La 5.8188 3.4443 8.8380
La 0.7384 -0.1675 7.2474
Ni 2.2616 4.6239 1.7929
Ni 5.1711 1.0287 11.1573
```

Model R:
DFT (GGA-PBE) results for a relaxed La3TlNi crystal.

Cell and atoms, written as extended XYZ:
```
5
Lattice="-2.1192 4.9901 -0.4190 -4.3883 -1.6314 2.7657 2.4124 1.4161 4.6629" Properties=species:S:1:pos:R:3 pbc="T T T"
La -2.1941 -0.8157 1.3829
La 1.2062 0.7080 2.3315
La -1.0596 2.4950 -0.2095
Ni 0.0000 0.0000 0.0000
Tl -2.0476 2.3874 3.5048
```

Stability comparison, relative energies in eV/atom: model P 0.009; model Q 0.000; model R 0.073

Model P:
DFT (GGA-PBE) results for a relaxed LaTl2Ni2 crystal.

Cell and atoms, written as extended XYZ:
```
5
Lattice="-0.9438 4.2212 0.8815 -1.8919 -1.2162 3.7985 3.4864 2.0522 4.9586" Properties=species:S:1:pos:R:3 pbc="T T T"
Tl 0.5623 3.8880 4.0900
Tl 0.0883 1.1693 5.5485
Ni -0.4078 1.6157 2.8793
Ni 1.0585 3.4415 6.7593
La 0.0000 0.0000 0.0000
```

Model Q:
DFT (GGA-PBE) results for a relaxed LaTl2Ni2 crystal.

Cell and atoms, written as extended XYZ:
```
5
Lattice="-0.4268 -4.6019 0.8688 3.5642 0.2467 3.0578 -1.6956 -1.1719 5.6871" Properties=species:S:1:pos:R:3 pbc="T T T"
Ni -0.2768 -3.9757 4.2596
Ni 1.7186 -1.5514 5.3541
La 0.0000 0.0000 0.0000
Tl 0.8183 -3.6407 6.5721
Tl 0.6235 -1.8864 3.0416
```

Model R:
DFT (GGA-PBE) results for a relaxed LaTl2Ni2 crystal.

Cell and atoms, written as extended XYZ:
```
10
Lattice="7.1675 0.0000 0.0000 0.0000 7.1675 0.0000 0.0000 0.0000 4.2086" Properties=species:S:1:pos:R:3 pbc="T T T"
La 3.5837 3.5837 0.0000
La 0.0000 0.0000 0.0000
Tl 1.1676 4.7513 2.1043
Tl 5.9999 2.4161 2.1043
Tl 2.4161 1.1676 2.1043
Tl 4.7513 5.9999 2.1043
Ni 6.3167 4.4345 0.0000
Ni 0.8507 2.7330 0.0000
Ni 4.4345 0.8507 0.0000
Ni 2.7330 6.3167 0.0000
```

Stability comparison, relative energies in eV/atom: model P 0.000; model Q 0.057; model R 0.113

Model P:
DFT (GGA-PBE) results for a relaxed LaTlZn2Ni crystal.

Cell and atoms, written as extended XYZ:
```
5
Lattice="4.6848 0.0000 0.0000 0.0000 4.6848 0.0000 0.0000 0.0000 4.9054" Properties=species:S:1:pos:R:3 pbc="T T T"
Ni 0.0000 0.0000 0.0000
Zn 2.3424 0.0000 0.0000
Zn 0.0000 2.3424 0.0000
Tl 0.0000 0.0000 2.4527
La 2.3424 2.3424 2.4527
```

Model Q:
DFT (GGA-PBE) results for a relaxed LaTlZn2Ni crystal.

Cell and atoms, written as extended XYZ:
```
5
Lattice="-2.5339 -2.7532 -3.0579 4.1068 -1.4694 -2.0801 0.2648 -3.8280 3.2271" Properties=species:S:1:pos:R:3 pbc="T T T"
La 0.1324 -1.9140 1.6135
Zn 2.0534 -0.7347 -1.0400
Zn -1.2669 -1.3766 -1.5290
Tl 0.9189 -4.0253 -0.9554
Ni 0.0000 0.0000 0.0000
```

Stability comparison, relative energies in eV/atom: model P 0.000; model Q 0.014

Model P:
DFT (GGA-PBE) results for a relaxed LaV2Ni2 crystal.

Cell and atoms, written as extended XYZ:
```
5
Lattice="4.0762 0.0000 0.0000 0.0000 4.0762 0.0000 2.0381 2.0381 5.1913" Properties=species:S:1:pos:R:3 pbc="T T T"
La 0.0000 0.0000 0.0000
Ni 2.0381 2.0381 1.2673
Ni 4.0762 4.0762 3.9240
V 4.0762 2.0381 2.5956
V 2.0381 4.0762 2.5956
```

Model Q:
DFT (GGA-PBE) results for a relaxed LaV2Ni2 crystal.

Cell and atoms, written as extended XYZ:
```
5
Lattice="-1.2564 -1.6345 -3.6114 2.7456 -3.0914 0.4439 -2.7071 -5.0796 0.8466" Properties=species:S:1:pos:R:3 pbc="T T T"
V -1.0300 -6.7086 -1.3937
V -0.1879 -3.0969 -0.9272
Ni 0.3916 -5.2670 -0.1466
Ni -1.6094 -4.5385 -2.1743
La 0.0000 0.0000 0.0000
```

Stability comparison, relative energies in eV/atom: model P 0.000; model Q 0.137

Model P:
DFT (GGA-PBE) results for a relaxed LaV3Ni crystal.

Cell and atoms, written as extended XYZ:
```
5
Lattice="4.5938 0.0000 0.0000 0.0000 4.5938 0.0000 0.0000 0.0000 4.5938" Properties=species:S:1:pos:R:3 pbc="T T T"
V 0.0000 2.2969 0.0000
V 0.0000 0.0000 2.2969
V 2.2969 0.0000 0.0000
Ni 0.0000 0.0000 0.0000
La 2.2969 2.2969 2.2969
```

Model Q:
DFT (GGA-PBE) results for a relaxed LaV3Ni crystal.

Cell and atoms, written as extended XYZ:
```
5
Lattice="4.5046 0.0000 0.0000 0.0000 4.5046 0.0000 0.0000 0.0000 4.5046" Properties=species:S:1:pos:R:3 pbc="T T T"
La 0.0000 0.0000 0.0000
V 0.0000 2.2523 0.0000
V 2.2523 0.0000 0.0000
V 0.0000 0.0000 2.2523
Ni 2.2523 2.2523 2.2523
```

Stability comparison, relative energies in eV/atom: model P 0.000; model Q 1.158

Model P:
DFT (GGA-PBE) results for a relaxed LaVNi3 crystal.

Cell and atoms, written as extended XYZ:
```
5
Lattice="-0.2688 -4.3024 1.8544 1.8155 -1.8080 -3.9316 4.3190 0.4922 1.7681" Properties=species:S:1:pos:R:3 pbc="T T T"
Ni -0.1344 -2.1512 0.9272
Ni 0.9078 -0.9040 -1.9658
Ni 2.1595 0.2461 0.8840
V 2.9329 -2.8091 -0.1545
La 0.0000 0.0000 0.0000
```

Model Q:
DFT (GGA-PBE) results for a relaxed LaVNi3 crystal.

Cell and atoms, written as extended XYZ:
```
5
Lattice="4.4868 0.0000 0.0000 0.0000 4.4868 0.0000 0.0000 0.0000 4.4868" Properties=species:S:1:pos:R:3 pbc="T T T"
V 0.0000 0.0000 0.0000
Ni 2.2434 0.0000 0.0000
Ni 0.0000 2.2434 0.0000
Ni 0.0000 0.0000 2.2434
La 2.2434 2.2434 2.2434
```

Stability comparison, relative energies in eV/atom: model P 1.155; model Q 0.000